Density functional theory data (PBE) for a geometry-optimized HgP2Os structure.

The structure in CIF format:
```
data_HgP2Os
_chemical_formula_sum 'Hg1 P2 Os1'
_cell_length_a 4.152
_cell_length_b 3.656
_cell_length_c 5.553
_cell_angle_alpha 90.00
_cell_angle_beta 102.17
_cell_angle_gamma 90.00
_symmetry_space_group_name_H-M 'P 1 m 1'
_symmetry_Int_Tables_number 6
_symmetry_space_group_name_Hall 'P -2y'
loop_
_atom_site_label
_atom_site_type_symbol
_atom_site_fract_x
_atom_site_fract_y
_atom_site_fract_z
Hg1 Hg 0.000 0.000 0.000
P1 P 0.399 0.000 0.706
P2 P 0.780 0.500 0.298
Os1 Os 0.324 0.500 0.456
```

* crystal system: monoclinic
* DOS at the Fermi energy: 0.622 states/eV/atom
* ΔE_f: 0.212 eV/atom